(1)
This record from the Alexandria database describes a relaxed CdPb2Br crystal. The functional is PBE.

Lattice parameters (Å, degrees): 7.173 7.173 7.173 151.31 136.60 52.86
Element x y z (fractional)
Pb 0.003 0.003 0.000
Pb 0.777 0.277 0.500
Br 0.494 0.494 0.000
Cd 0.227 0.727 0.500

M_tot: 0.0 μB per cell
Calculated total energy: -2.645 eV per atom
Density of states at the Fermi level: 0.49 states/eV/atom
Space group: Imm2 (44)
ΔE_f (raw): -0.144 eV per atom

(2)
This record from the Alexandria database describes a relaxed Pa2SiTc3 crystal. The functional is PBE.

Lattice parameters (Å, degrees): 5.054 5.054 5.054 67.93 67.93 67.93
Element x y z (fractional)
Pa 0.371 0.371 0.371
Pa 0.629 0.629 0.629
Si 0.000 0.000 0.000
Tc 0.000 0.000 0.500
Tc 0.500 0.000 0.000
Tc 0.000 0.500 0.000

M_tot: 0.0 μB per cell
Calculated total energy: -9.680 eV per atom
Density of states at the Fermi level: 1.33 states/eV/atom
Space group: R-3m (166)
ΔE_f (raw): -0.428 eV per atom

(3)
This record from the Alexandria database describes a relaxed MnCo2Au crystal. The functional is PBE.

Lattice parameters (Å, degrees): 4.619 4.619 4.619 131.89 131.86 70.43
Element x y z (fractional)
Au 0.250 0.750 0.500
Co 0.000 0.000 0.000
Co 0.500 0.500 0.000
Mn 0.750 0.250 0.500

Calculated formation energy: 0.72 eV/f.u.
M_tot: 6.8 μB per cell
Calculated total energy: -6.486 eV per atom
Density of states at the Fermi level: 1.45 states/eV/atom
Space group: I4/mmm (139)

What is the density of states at the Fermi level in the first record?
0.49 states/eV/atom

Look up the density of states at the Fermi level of the first one.
0.49 states/eV/atom

Which of these has the lowest calculated total energy?
Pa2SiTc3